# ReNi5Rh2 PBE relaxed
# - formation energy from the elements (eV/atom) = 0.090
data_ReNi5Rh2
_chemical_formula_sum 'Re2 Ni10 Rh4'
_symmetry_space_group_name_H-M 'P m m n'
_symmetry_Int_Tables_number 59
_cell_length_a 2.677
_cell_length_b 11.320
_cell_length_c 6.573
_cell_angle_alpha 90.00
_cell_angle_beta 90.00
_cell_angle_gamma 90.00
loop_
_symmetry_equiv_pos_as_xyz
'x,y,z'
'-x,-y,-z'
'-x+1/2,-y+1/2,z'
'x+1/2,y+1/2,-z'
'x+1/2,-y,-z'
'-x+1/2,y,z'
'-x,y+1/2,-z'
'x,-y+1/2,z'
loop_
_atom_site_label
_atom_site_type_symbol
_atom_site_fract_x
_atom_site_fract_y
_atom_site_fract_z
Re1 Re 0.250 0.250 0.035
Ni1 Ni 0.250 0.077 0.429
Ni2 Ni 0.250 0.561 0.878
Ni3 Ni 0.250 0.750 0.632
Rh1 Rh 0.250 0.630 0.251